{"formula": "Tb2DyTl3Te6", "functional": "PBE", "state": "relaxed", "dft_energy_ev_per_atom": -4.38, "density_g_cm3": 7.3, "total_magnetization_mub_per_fu": 0.0, "e_form_raw_ev_per_atom": -1.058, "lattice": [[3.8629, -6.6902, 0.0000], [3.8629, 6.6902, 0.0000], [-2.5759, 0.0000, 8.1877]], "species": ["Tb", "Tb", "Dy", "Tl", "Tl", "Tl", "Te", "Te", "Te", "Te", "Te", "Te"], "fractional_positions": [[0.1666, 0.8334, 0.0000], [0.8334, 0.1666, 0.0000], [0.5000, 0.5000, 0.0000], [0.0000, 0.0000, 0.5000], [0.3328, 0.6672, 0.5000], [0.6672, 0.3328, 0.5000], [0.0964, 0.4288, 0.7863], [0.2392, 0.2392, 0.2141], [0.4288, 0.0964, 0.7863], [0.5712, 0.9036, 0.2137], [0.7608, 0.7608, 0.7859], [0.9036, 0.5712, 0.2137]]}